[1]
## K2BaZr (GGA-PBE)

Data for K2BaZr after structural relaxation.

Computed properties:
Formation enthalpy at 0 K ... 0.781 eV per atom
Energy above the lowest structure with this stoichiometry ... 0.199 eV/atom
Total magnetization ... 2.1 μB per formula unit
E ... -2.385 eV/atom

abc: 3.6588 3.6588 13.8528
angles: 90.00 90.00 90.00
Atoms (fractional coordinates):
K (0.0000, 0.0000, 0.2163)
K (0.0000, 0.0000, 0.7837)
Ba (0.5000, 0.5000, 0.5000)
Zr (0.5000, 0.5000, 0.0000)


[2]
## Ho4AgRh2 (GGA-PBE)

Data for Ho4AgRh2 after structural relaxation.

Computed properties:
Formation enthalpy at 0 K ... -0.591 eV per atom
Energy above the lowest structure with this stoichiometry ... 0.000 eV/atom
Total magnetization ... 0.0 μB per formula unit
E ... -5.714 eV/atom

abc: 7.3449 7.3449 8.7711
angles: 123.39 123.39 71.66
Atoms (fractional coordinates):
Ho (0.0490, 0.0490, 0.2265)
Ho (0.3144, 0.5217, 0.6000)
Ho (0.4642, 0.1714, 0.8995)
Ho (0.4783, 0.6856, 0.4000)
Ho (0.5722, 0.0724, 0.2729)
Ho (0.8286, 0.5358, 0.1005)
Ho (0.9276, 0.4278, 0.7271)
Ho (0.9510, 0.9510, 0.7735)
Ag (0.0837, 0.9163, 0.5000)
Ag (0.3339, 0.6661, 0.0000)
Rh (0.2118, 0.3078, 0.1328)
Rh (0.5758, 0.1716, 0.6332)
Rh (0.6922, 0.7882, 0.8672)
Rh (0.8284, 0.4242, 0.3668)


[3]
## Pm2NdSm3Ho6 (GGA-PBE)

Data for Pm2NdSm3Ho6 after structural relaxation.

Computed properties:
Formation enthalpy at 0 K ... 0.014 eV per atom
Total magnetization ... 0.0 μB per formula unit
E ... -4.644 eV/atom

abc: 6.2194 6.2194 11.7949
angles: 95.02 95.02 119.99
Atoms (fractional coordinates):
Pm (0.1666, 0.8334, 0.0000)
Pm (0.8334, 0.1666, 0.0000)
Nd (0.5000, 0.5000, 0.0000)
Sm (0.0000, 0.0000, 0.5000)
Sm (0.3333, 0.6667, 0.5000)
Sm (0.6667, 0.3333, 0.5000)
Ho (0.0826, 0.4161, 0.7492)
Ho (0.2505, 0.2505, 0.2508)
Ho (0.4161, 0.0826, 0.7492)
Ho (0.5839, 0.9174, 0.2508)
Ho (0.7495, 0.7495, 0.7492)
Ho (0.9174, 0.5839, 0.2508)


[4]
## Cr2TcBr (GGA-PBE)

Data for Cr2TcBr after structural relaxation.

Computed properties:
Energy above the lowest structure with this stoichiometry ... 0.280 eV/atom
ΔE_f (raw) ... 772 meV per atom
Total magnetization ... 0.3 μB per formula unit
E ... -7.049 eV/atom

abc: 3.0011 4.3924 4.4299
angles: 90.00 90.00 90.00
Atoms (fractional coordinates):
Cr (0.0000, 0.0000, 0.0000)
Cr (0.5000, 0.0000, 0.5000)
Tc (0.0000, 0.5000, 0.5000)
Br (0.5000, 0.5000, 0.0000)